This record from Alexandria describes an optimized crystal structure of Tc2PBr. The functional is PBE.

Computed properties:
raw formation energy: 838 meV/atom
ΔE to the lowest computed polymorph: 900.6 meV/atom
uncorrected energy: -6.1155 eV per atom
spin magnetization: 0.6 μB/cell
volume: 61 Å³/cell

Cell: 5.300 5.300 5.300 Å, 139.81 139.81 58.15°
Fractional coordinates of all 4 atoms:
Tc 0.000 0.000 0.000
Tc 0.750 0.250 0.500
P 0.500 0.500 0.000
Br 0.250 0.750 0.500